Record 1
Material: CeMgH6Ru
Method: DFT, PBE
State: optimized geometry

```
CeMgH6Ru
1.0
4.6672 0.0000 0.0000
2.3337 4.0419 0.0002
0.0001 -0.0001 4.5454
H Ce Mg Ru
6 1 1 1
Cartesian
3.3689 1.9452 1.0249
1.2982 1.9452 3.5208
1.2981 1.9450 1.0248
3.3692 1.9450 3.5208
2.3337 0.1517 1.0247
2.3334 0.1516 3.5207
4.6673 -0.0001 4.5454
4.6673 2.6946 2.2728
2.3336 1.3473 2.2728
```

E, eV per atom: -4.442
Density, g cm⁻³: 5.26
Crystal system: hexagonal
Space-group type: No. 187
DOS at the Fermi energy, states/eV per cell: 6.858


Record 2
Material: Na2LaPmTe4
Method: DFT, PBE
State: optimized geometry

```
Na2LaPmTe4
1.0
-0.4916 4.2001 1.7731
-3.2828 2.4827 -6.7913
-5.7247 -2.7249 4.8676
La Te Na Pm
1 4 2 1
Cartesian
-1.8872 3.3414 -2.5091
-5.1617 -1.4535 2.0120
-3.8458 1.2113 -3.9356
-2.4037 2.0503 0.4060
-7.0954 1.9075 -0.5566
-4.5038 -0.1211 -0.9618
-3.1082 0.7376 3.3204
0.0000 0.0000 0.0000
```

Uncorrected formation energy, eV per atom: -1.367
E, eV per atom: -4.478
Density, g cm⁻³: 5.08
Crystal system: monoclinic
Space-group type: No. 10


Record 3
Material: SrLiCd3
Method: DFT, PBE
State: optimized geometry

```
SrLiCd3
1.0
6.4794 0.1862 0.0000
2.5449 5.9597 0.0000
0.0000 -0.0001 6.9544
Cd Li Sr
6 2 2
Cartesian
3.9622 1.5835 2.1032
2.1275 4.2759 2.1026
2.1275 4.2759 5.5804
3.9621 1.5834 5.5799
4.4904 3.9140 0.3643
1.5995 1.9455 3.8414
6.6971 5.4170 0.3643
5.8721 0.6288 3.8415
0.6911 1.3269 0.3642
5.3987 4.5326 3.8416
```

ΔH_f (0 K), eV per atom: -0.226
E, eV per atom: -1.494
Density, g cm⁻³: 5.41
Crystal system: orthorhombic
Space-group type: No. 63
DOS at the Fermi energy, states/eV per cell: 7.319
Energy above the most stable polymorph in this dataset, eV/atom: 0.000


Record 4
Material: CoRu2Br
Method: DFT, PBE
State: optimized geometry

```
CoRu2Br
1.0
2.8810 0.0000 0.0000
0.0000 4.6599 0.0000
0.0000 0.0000 4.4537
Co Br Ru
1 1 2
Cartesian
0.0000 2.3300 2.2269
1.4405 0.0000 2.2269
0.0000 0.0000 0.0000
1.4405 2.3300 0.0000
```

Uncorrected formation energy, eV per atom: 0.942
E, eV per atom: -5.891
Density, g cm⁻³: 9.47
Crystal system: orthorhombic
Space-group type: No. 47
DOS at the Fermi energy, states/eV per cell: 5.804
Energy above the most stable polymorph in this dataset, eV/atom: 0.395


Record 5
Material: PtRhBr
Method: DFT, PBE
State: optimized geometry

```
PtRhBr
1.0
4.4130 0.0000 0.0000
2.2065 3.8218 0.0000
2.2065 1.2739 3.6032
Pt Br Rh
1 1 1
Cartesian
4.4130 2.5478 1.8016
0.0000 0.0000 0.0000
6.6195 3.8218 2.7024
```

Uncorrected formation energy, eV per atom: 0.688
E, eV per atom: -4.334
Density, g cm⁻³: 10.33
Crystal system: cubic
Space-group type: No. 216
DOS at the Fermi energy, states/eV per cell: 2.512
Energy above the most stable polymorph in this dataset, eV/atom: 0.326


Record 6
Material: TaSb3P
Method: DFT, PBE
State: optimized geometry

```
TaSb3P
1.0
-4.5456 -2.1128 -0.4234
2.1469 -4.5251 -0.4690
-0.1839 -0.6046 4.9906
Sb Ta P
3 1 1
Cartesian
1.0735 -2.2625 -0.2345
-0.0920 -0.3023 2.4953
-2.2728 -1.0564 -0.2117
-1.2913 -3.6212 2.0491
0.0000 0.0000 0.0000
```

Uncorrected formation energy, eV per atom: 1.100
E, eV per atom: -4.826
Density, g cm⁻³: 7.53
Crystal system: cubic
Space-group type: No. 221
DOS at the Fermi energy, states/eV per cell: 6.408
Energy above the most stable polymorph in this dataset, eV/atom: 0.275


Record 7
Material: CuSiHg2
Method: DFT, PBE
State: optimized geometry

```
CuSiHg2
1.0
2.9033 0.0000 0.0000
0.0000 3.6724 0.0000
0.0000 0.0000 7.1568
Cu Si Hg
1 1 2
Cartesian
1.4517 1.8362 5.3676
1.4517 1.8362 1.7892
0.0000 0.0000 7.0069
0.0000 0.0000 3.7283
```

Uncorrected formation energy, eV per atom: 0.442
E, eV per atom: -2.089
Density, g cm⁻³: 10.72
Crystal system: orthorhombic
Space-group type: No. 47
DOS at the Fermi energy, states/eV per cell: 1.274


Record 8
Material: InFe2Ag
Method: DFT, PBE
State: optimized geometry

```
InFe2Ag
1.0
4.7613 -0.0762 0.0000
1.3641 4.5624 0.0000
-3.0627 -2.2431 2.8748
Fe In Ag
2 1 1
Cartesian
0.6821 2.2812 1.4374
0.0000 0.0000 0.0000
3.0627 2.2431 0.0000
2.3807 -0.0381 1.4374
```

ΔH_f (0 K), eV per atom: 0.309
E, eV per atom: -5.320
Density, g cm⁻³: 8.85
Crystal system: tetragonal
Space-group type: No. 119
DOS at the Fermi energy, states/eV per cell: 2.811


Record 9
Material: K2RePdPb
Method: DFT, PBE
State: optimized geometry

```
K2RePdPb
1.0
5.8317 0.0000 0.0000
0.0000 5.2928 0.0000
0.0000 0.0000 5.8317
K Re Pb Pd
2 1 1 1
Cartesian
2.9159 0.0000 0.0000
0.0000 0.0000 2.9159
2.9159 2.6464 2.9159
0.0000 2.6464 0.0000
0.0000 0.0000 0.0000
```

ΔH_f (0 K), eV per atom: 1.246
E, eV per atom: -3.463
Density, g cm⁻³: 5.33
Crystal system: tetragonal
Space-group type: No. 123
DOS at the Fermi energy, states/eV per cell: 3.121


Record 10
Material: PmYEr2Tm5
Method: DFT, PBE
State: optimized geometry

```
PmYEr2Tm5
1.0
5.5416 0.0000 0.0000
-2.7708 9.7613 0.0000
0.0000 0.0000 10.5517
Pm Tm Y Er
2 10 2 4
Cartesian
0.0000 8.1379 4.7856
2.7708 1.6234 10.0614
0.0000 0.3608 0.2708
0.0000 5.8378 7.5053
2.7708 0.4172 2.4905
0.0000 5.5220 3.2627
2.7708 2.1528 5.5055
2.7708 9.4005 5.5466
2.7708 4.2394 8.5386
0.0000 7.6086 0.2296
0.0000 9.3441 7.7664
2.7708 3.9235 2.2294
0.0000 3.9285 0.1262
2.7708 5.8329 5.4020
0.0000 2.2077 3.3653
2.7708 7.5537 8.6412
2.7708 7.6168 2.4859
0.0000 2.1445 7.7618
```

ΔH_f (0 K), eV per atom: 0.163
E, eV per atom: -4.581
Density, g cm⁻³: 8.22
Crystal system: orthorhombic
Space-group type: No. 36
DOS at the Fermi energy, states/eV per cell: 28.500


Record 11
Material: PmHF
Method: DFT, PBE
State: optimized geometry

```
PmHF
1.0
3.7295 0.0859 0.3968
1.7826 3.2770 0.3968
0.7382 0.4504 8.2075
F H Pm
2 2 2
Cartesian
3.4085 2.0795 1.8834
2.8418 1.7338 7.1178
1.3704 0.8361 3.4418
4.8799 2.9772 5.5594
5.1182 3.1225 3.3058
1.1322 0.6907 5.6953
```

E, eV per atom: -5.381
Density, g cm⁻³: 5.60
Crystal system: monoclinic
Space-group type: No. 12
DOS at the Fermi energy, states/eV per cell: 0.521
Energy above the most stable polymorph in this dataset, eV/atom: 0.000


Record 12
Material: Pm2TlRu
Method: DFT, PBE
State: optimized geometry

```
Pm2TlRu
1.0
-0.9405 -1.0591 3.4747
-4.6590 -1.4546 -1.7044
1.8281 -4.7416 -0.9504
Tl Pm Ru
1 2 1
Cartesian
-1.8857 -3.6276 0.4099
-2.3295 -0.7273 -0.8522
0.9140 -2.3708 -0.4752
-0.4703 -0.5295 1.7374
```

ΔH_f (0 K), eV per atom: -0.150
E, eV per atom: -5.436
Density, g cm⁻³: 9.86
Crystal system: tetragonal
Space-group type: No. 123
DOS at the Fermi energy, states/eV per cell: 2.234
Energy above the most stable polymorph in this dataset, eV/atom: 0.150


Record 13
Material: TmScCI
Method: DFT, PBE
State: optimized geometry

```
TmScCI
1.0
3.6428 -0.0005 -0.0004
-1.8210 3.1551 0.0000
-1.8214 -1.0515 7.1413
Sc I C Tm
1 1 1 1
Cartesian
0.3438 -0.2310 5.0145
2.1656 0.8211 2.6556
-1.4774 0.8208 6.1630
-1.4770 2.9244 0.2321
```

Uncorrected formation energy, eV per atom: -0.713
E, eV per atom: -6.107
Density, g cm⁻³: 7.14
Crystal system: trigonal
Space-group type: No. 160
DOS at the Fermi energy, states/eV per cell: 2.464


Record 14
Material: ZrCd2Re
Method: DFT, PBE
State: optimized geometry

```
ZrCd2Re
1.0
5.5525 -0.0231 -0.0232
2.3445 5.0332 0.0232
-3.3839 -3.3950 2.8025
Cd Zr Re
2 1 1
Cartesian
2.9916 -0.4990 1.3897
7.8621 4.9880 0.0000
1.6299 2.1829 1.4129
3.8750 2.4585 0.0000
```

ΔH_f (0 K), eV per atom: 0.286
E, eV per atom: -5.420
Density, g cm⁻³: 10.60
Crystal system: orthorhombic
Space-group type: No. 44
DOS at the Fermi energy, states/eV per cell: 2.329
Energy above the most stable polymorph in this dataset, eV/atom: 0.127


Record 15
Material: K2RbHfRu
Method: DFT, PBE
State: optimized geometry

```
K2RbHfRu
1.0
6.6664 0.0000 0.0000
0.0000 6.6375 0.0000
0.0000 0.0000 6.6664
Hf Ru K Rb
1 1 2 1
Cartesian
0.0000 0.0000 0.0000
3.3332 3.3187 3.3332
0.0000 0.0000 3.3332
3.3332 0.0000 0.0000
0.0000 3.3187 0.0000
```

ΔH_f (0 K), eV per atom: 2.450
E, eV per atom: -2.028
Density, g cm⁻³: 2.50
Crystal system: tetragonal
Space-group type: No. 123
DOS at the Fermi energy, states/eV per cell: 31.123


Record 16
Material: Li3Y3InS8
Method: DFT, PBE
State: optimized geometry

```
Li3Y3InS8
1.0
7.8198 0.0000 0.0000
-3.9099 6.7716 -0.0247
0.0000 -4.4959 6.0919
Li Y S In
3 3 8 1
Cartesian
0.0000 0.0000 0.0000
-1.9550 3.3858 -0.0124
1.9550 3.3858 -0.0124
1.9550 1.1379 3.0336
3.9099 -2.2479 3.0459
-1.9550 1.1379 3.0336
1.8889 -3.3328 4.5680
3.9099 0.0148 4.5670
2.0210 5.6086 1.4991
-2.0210 5.6086 1.4991
0.0000 -0.0610 4.5564
0.0000 2.2609 1.5002
5.9309 -3.3328 4.5680
3.9099 2.3368 1.5108
0.0000 -2.2479 3.0459
```

Uncorrected formation energy, eV per atom: -1.486
E, eV per atom: -5.545
Density, g cm⁻³: 3.40
Crystal system: trigonal
Space-group type: No. 166
DOS at the Fermi energy, states/eV per cell: 9.063


Record 17
Material: CaLaCo3
Method: DFT, PBE
State: optimized geometry

```
CaLaCo3
1.0
-2.6833 -2.6969 2.7455
0.7599 -3.6523 -2.8451
3.7728 -1.1825 2.5257
Co La Ca
3 1 1
Cartesian
-1.3417 -1.3485 1.3727
1.8864 -0.5913 1.2629
0.3799 -1.8262 -1.4225
0.9247 -3.7659 1.2131
0.0000 0.0000 0.0000
```

ΔH_f (0 K), eV per atom: 1.144
E, eV per atom: -4.506
Density, g cm⁻³: 5.72
Crystal system: cubic
Space-group type: No. 221
DOS at the Fermi energy, states/eV per cell: 8.276
Energy above the most stable polymorph in this dataset, eV/atom: 0.134


Record 18
Material: Sr2ZnRe
Method: DFT, PBE
State: optimized geometry

```
Sr2ZnRe
1.0
5.7421 0.0000 0.0000
0.0000 5.7425 0.0000
0.0000 0.0000 3.1165
Sr Zn Re
2 1 1
Cartesian
0.0000 0.0000 0.0000
2.8710 2.8712 0.0000
2.8710 0.0000 1.5583
0.0000 2.8712 1.5583
```

ΔH_f (0 K), eV per atom: 0.764
E, eV per atom: -3.507
Density, g cm⁻³: 6.90
Crystal system: tetragonal
Space-group type: No. 123
DOS at the Fermi energy, states/eV per cell: 4.372


Record 19
Material: CoN
Method: DFT, PBE
State: optimized geometry

```
CoN
1.0
-0.7792 2.0744 1.1826
0.8138 -0.9388 2.1829
3.0382 1.4351 -0.5155
Co N
1 1
Cartesian
1.5364 1.2854 1.4250
0.0173 0.5678 1.6828
```

Uncorrected formation energy, eV per atom: 0.920
E, eV per atom: -6.795
Density, g cm⁻³: 5.65
Crystal system: tetragonal
Space-group type: No. 123
DOS at the Fermi energy, states/eV per cell: 2.162
Energy above the most stable polymorph in this dataset, eV/atom: 0.815


Record 20
Material: K2AlFe
Method: DFT, PBE
State: optimized geometry

```
K2AlFe
1.0
-1.3196 1.3240 -2.8082
-1.4789 -5.1649 -1.7403
-5.3202 0.5876 2.7770
Fe Al K
1 1 2
Cartesian
-5.3894 -1.4797 -0.1915
-2.7293 -1.7735 -1.5800
-5.3060 0.5861 2.7696
-2.6743 0.2954 1.3959
```

ΔH_f (0 K), eV per atom: 0.923
E, eV per atom: -2.677
Density, g cm⁻³: 2.33
Crystal system: orthorhombic
Space-group type: No. 47
DOS at the Fermi energy, states/eV per cell: 3.337


Record 21
Material: ScTc2Ni
Method: DFT, PBE
State: optimized geometry

```
ScTc2Ni
1.0
7.3033 0.0000 0.0000
0.0000 7.3033 0.0000
3.6517 3.6517 2.4350
Tc Ni Sc
4 2 2
Cartesian
5.4775 5.1707 1.8263
1.5190 5.4775 0.6088
9.1292 9.4360 1.8263
5.7843 1.8258 0.6088
7.3033 3.6517 1.2175
0.0000 0.0000 0.0000
3.6517 3.6517 0.0000
3.6517 7.3033 1.2175
```

ΔH_f (0 K), eV per atom: 0.341
E, eV per atom: -7.870
Density, g cm⁻³: 7.66
Crystal system: tetragonal
Space-group type: No. 122
DOS at the Fermi energy, states/eV per cell: 12.397
Energy above the most stable polymorph in this dataset, eV/atom: 0.464


Record 22
Material: LaPr4Dy
Method: DFT, PBE
State: optimized geometry

```
LaPr4Dy
1.0
3.5185 0.0000 0.0000
1.7592 6.0140 -0.1233
1.7592 -0.0182 10.2671
Pr Dy La
4 1 1
Cartesian
1.7592 0.1719 6.7602
3.5185 3.2164 1.5073
3.5185 2.7793 8.6365
5.2777 5.8238 3.3836
0.0000 0.0000 0.0000
3.5185 2.9979 5.0719
```

ΔH_f (0 K), eV per atom: 0.168
E, eV per atom: -4.607
Density, g cm⁻³: 6.61
Crystal system: monoclinic
Space-group type: No. 12
DOS at the Fermi energy, states/eV per cell: 11.351
Energy above the most stable polymorph in this dataset, eV/atom: 0.000


Record 23
Material: PtRh3C
Method: DFT, PBE
State: optimized geometry

```
PtRh3C
1.0
-0.2175 -4.0005 0.7080
3.7742 0.0634 1.5181
-1.5037 0.7379 3.7077
Rh Pt C
3 1 1
Cartesian
1.8871 0.0317 0.7590
-0.7519 0.3689 1.8539
-0.1088 -2.0003 0.3540
1.0264 -1.5996 2.9669
0.0000 0.0000 0.0000
```

ΔH_f (0 K), eV per atom: 0.255
E, eV per atom: -7.209
Density, g cm⁻³: 12.72
Crystal system: cubic
Space-group type: No. 221
DOS at the Fermi energy, states/eV per cell: 7.506
Energy above the most stable polymorph in this dataset, eV/atom: 0.000


Record 24
Material: PuFeGe
Method: DFT, PBE
State: optimized geometry

```
PuFeGe
1.0
3.4833 0.0000 0.0000
0.0000 4.2903 0.0000
0.0000 -2.1451 3.7155
Pu Fe Ge
1 1 1
Cartesian
2.3221 2.1451 1.2385
0.5809 0.0000 2.4770
0.5804 0.0000 0.0000
```

ΔH_f (0 K), eV per atom: -0.296
E, eV per atom: -9.434
Density, g cm⁻³: 11.14
Crystal system: hexagonal
Space-group type: No. 187
DOS at the Fermi energy, states/eV per cell: 5.747


Record 25
Material: Er5Fe2Ag
Method: DFT, PBE
State: optimized geometry

```
Er5Fe2Ag
1.0
-7.1213 -1.5681 0.2495
1.5759 -6.8400 1.9914
2.5849 6.1367 5.6664
Er Ag Fe
10 2 4
Cartesian
2.4627 0.7329 5.2024
-3.5435 -6.1839 3.6623
0.5830 3.9125 4.2450
-2.7727 -4.2041 1.1204
0.0000 0.0000 0.0000
-0.8563 -1.0997 5.6325
-2.7360 2.0798 4.6750
-2.1041 -1.1717 2.2748
-5.4232 -3.0043 2.7048
-0.2245 -4.3513 3.2322
-0.0939 0.9663 3.3934
-2.8666 -3.2377 4.5139
-1.3813 -6.7092 1.8723
-0.1584 -2.8464 0.8062
-5.3870 -5.5617 1.4347
-4.1640 -1.6989 0.3686
```

ΔH_f (0 K), eV per atom: -0.114
E, eV per atom: -5.438
Density, g cm⁻³: 9.33
Crystal system: tetragonal
Space-group type: No. 140
DOS at the Fermi energy, states/eV per cell: 16.589


Record 26
Material: Zn2Ag7Sn
Method: DFT, PBE
State: optimized geometry

```
Zn2Ag7Sn
1.0
-0.7325 -4.0639 -1.7450
7.5916 -1.1898 -0.4155
-4.0524 -1.9509 6.2444
Ag Sn Zn
7 1 2
Cartesian
5.1498 -1.3494 0.9810
-1.0303 -2.7057 0.9752
3.8370 -4.4990 3.1086
1.6209 -2.5324 -0.5411
-1.6107 -1.7913 4.8478
1.1858 -4.6723 4.6250
1.4034 -3.6023 2.0419
0.0000 0.0000 0.0000
3.6818 -3.4534 0.7387
-0.8751 -3.7513 3.3451
```

ΔH_f (0 K), eV per atom: 0.252
E, eV per atom: -2.399
Density, g cm⁻³: 7.38
Crystal system: orthorhombic
Space-group type: No. 65
DOS at the Fermi energy, states/eV per cell: 3.301